DFT (PBE) results for crystalline Nd4Dy4Er3 at its relaxed geometry. Values from VASP.

Values from the calculation:
* ΔE to the lowest computed polymorph: 0 meV/atom
* ΔE_f: 0.063 eV per atom
* total magnetization: 0.0 μB/f.u.
* final energy: -4.589 eV per atom

Structure (Quantum ESPRESSO input):
```
&SYSTEM
  ibrav = 0, nat = 11, ntyp = 3
/
ATOMIC_SPECIES
Nd 144.24 Nd.upf
Dy 162.50 Dy.upf
Er 167.26 Er.upf
CELL_PARAMETERS angstrom
3.531 0.000 0.002
0.000 5.668 0.004
1.756 2.819 17.820
ATOMIC_POSITIONS angstrom
Nd 1.763 5.665 3.224
Nd 3.526 5.661 9.569
Dy 1.761 5.663 6.432
Nd 1.762 2.827 8.258
Dy 3.524 5.656 16.206
Dy 3.526 2.825 11.395
Nd 3.524 2.823 14.603
Er 3.527 2.829 4.830
Er 1.756 2.819 17.820
Er 1.760 5.658 12.996
Dy 1.764 2.832 1.620
```

---

DFT (PBE) results for crystalline Nd5Dy2Er3 at its relaxed geometry. Values from VASP.

Values from the calculation:
* ΔE to the lowest computed polymorph: 194 meV/atom
* ΔE_f: 0.375 eV per atom
* total magnetization: 0.0 μB/f.u.
* final energy: -4.298 eV per atom

Structure (Quantum ESPRESSO input):
```
&SYSTEM
  ibrav = 0, nat = 20, ntyp = 3
/
ATOMIC_SPECIES
Nd 144.24 Nd.upf
Er 167.26 Er.upf
Dy 162.50 Dy.upf
CELL_PARAMETERS angstrom
-4.725 -0.132 9.890
-5.199 -7.728 3.487
3.109 -5.767 7.483
ATOMIC_POSITIONS angstrom
Nd -6.283 -10.299 18.121
Nd -3.930 -8.735 10.155
Er -7.512 -9.019 14.514
Nd -2.885 -4.892 10.706
Er -1.181 -0.033 2.472
Nd -2.226 -6.780 7.958
Er -5.800 -5.650 9.302
Nd -0.531 -3.328 2.739
Er -3.544 -0.099 7.417
Dy -5.144 -1.898 9.666
Dy -1.671 -11.729 11.194
Nd -4.589 -6.846 12.903
Nd -2.894 -3.394 7.684
Dy -1.315 -1.486 5.426
Nd -2.245 -5.232 4.932
Dy -5.500 -12.141 15.434
Er -1.014 -7.977 11.558
Nd -4.569 -8.394 15.928
Nd -3.921 -10.233 13.176
Er 0.697 -4.608 6.346
```